Below is a relaxed Fe2PtRh crystal, with properties calculated at the PBE level.

Unit cell a=2.733 b=3.697 c=5.449 alpha=90.00 beta=90.00 gamma=90.00
Fractional coordinates of all 4 atoms:
Fe 0.000 0.000 0.000
Fe 0.500 0.500 0.255
Pt 0.000 0.000 0.489
Rh 0.500 0.500 0.780

Results
Calculated density (g/cm3): 12.36
Energy of formation (meV/atom): -69.0